Here is a geometry-optimized Tm4Ag2Ru structure from Alexandria. Energies are from PBE-GGA.

a = 7.082 Å, b = 9.811 Å, c = 4.860 Å
α = 90.00°, β = 90.00°, γ = 90.00°
Space group Cmmm (No. 65)
Inequivalent atoms, fractional coordinates:
Tm  0.239  0.000  0.000 [4 per cell]
Tm  0.250  0.250  0.500 [4 per cell]
Ag  0.000  0.251  0.000 [4 per cell]
Ru  0.000  0.000  0.500 [2 per cell]

M_tot ... 0.00 μB/f.u.
Energy relative to the elements ... -0.26 eV per atom
E ... -69.4 eV per cell
DOS at the Fermi energy ... 0.684 states/eV/atom